Material: BaSrW2F
Method: DFT, PBE+U
State: relaxed

For the calculated total energy, the calculation gives -2.301 eV per atom. The space-group type is P4/mmm. The total magnetization comes out at 10.99 μB/f.u.

Lattice parameters (Å, degrees): 6.3558 8.2869 6.3558 90.00 90.00 90.00
Last column: magnetic moment on the atom in μB.
Positions (direct):
W (0.0000, 0.0000, 0.5000)  3.74
W (0.5000, 0.0000, 0.0000)  3.91
Ba (0.0000, 0.0000, 0.0000)  0.23
Sr (0.0000, 0.5000, 0.0000)  0.07
F (0.5000, 0.5000, 0.5000)  0.05